Here is a geometry-optimized Ta2CuSb structure from Alexandria via LeMat-Bulk. Energies are from PBE.

Values from the calculation:
Electronic total energy, Ha/atom: -0.2771
Formation energy from raw total energies, eV/atom: 0.441
Total magnetic moment, μB/f.u.: 0.0

a = 6.5899 Å, b = 6.5899 Å, c = 6.5899 Å
α = 90.00°, β = 90.00°, γ = 90.00°
With the nearest neighbours (Å) after each atom.
Space group F-43m (No. 216)
One atom of each set of equivalent atoms:
Ta  0.0000  0.0000  0.0000 [4 per cell]  4 Ta 2.85, 4 Sb 2.85
Ta  0.2500  0.2500  0.2500 [4 per cell]  4 Ta 2.85, 4 Cu 2.85
Cu  0.0000  0.0000  0.5000 [4 per cell]  4 Sb 2.85, 4 Ta 2.85
Sb  0.2500  0.2500  0.7500 [4 per cell]  4 Ta 2.85, 4 Cu 2.85